1.
Dy2InF | GGA-PBE | relaxed

Results
Space-group type: No. 166
M_tot, μB per formula unit: 0.0
Polymorph energy (0 for the lowest one), meV/atom: 0

Lattice parameters (Å, degrees): 7.9545 7.9545 7.9545 26.76 26.76 26.76
Last column: nearest neighbours and their distance in Å.
Fractional positions:
Dy: 0.2289 0.2289 0.2289  3 F 2.56
Dy: 0.7711 0.7711 0.7711  3 F 2.56
In: 0.0000 0.0000 0.0000  6 Dy 3.21
F: 0.5000 0.5000 0.5000  6 Dy 2.56

=====

2.
DyInF | GGA-PBE | relaxed

Results
Space-group type: No. 107
M_tot, μB per formula unit: 0.0
Polymorph energy (0 for the lowest one), meV/atom: 333

Lattice parameters (Å, degrees): 6.4075 6.4075 6.4075 150.16 150.16 42.70
Last column: nearest neighbours and their distance in Å.
Fractional positions:
Dy: 0.0000 0.0000 0.0000  4 F 2.40
In: 0.2846 0.2846 0.0000  1 F 3.13, 4 In 3.30, 5 Dy 3.40-3.47
F: 0.5472 0.5472 0.0000  4 Dy 2.40

=====

3.
DyInF5 | GGA-PBE | relaxed

Results
Space-group type: No. 15
Energy, eV per atom: -5.57
M_tot, μB per formula unit: 0.0

Lattice parameters (Å, degrees): 6.0231 6.0231 7.6503 106.68 106.68 77.29
Last column: nearest neighbours and their distance in Å.
Fractional positions:
Dy: 0.0432 0.9568 0.7500  7 F 2.16-2.42
Dy: 0.9568 0.0432 0.2500  7 F 2.16-2.42
In: 0.5000 0.5000 0.0000  4 F 2.24
In: 0.5000 0.5000 0.5000  4 F 2.24
F: 0.1582 0.8262 0.0390  2 Dy 2.24-2.42
F: 0.1738 0.8418 0.4610  2 Dy 2.24-2.42
F: 0.2125 0.2817 0.3611  1 Dy 2.16, 1 In 2.24
F: 0.2817 0.2125 0.8611  1 Dy 2.16, 1 In 2.24
F: 0.3455 0.6545 0.7500  2 In 2.24, 1 Dy 2.27
F: 0.6545 0.3455 0.2500  2 In 2.24, 1 Dy 2.27
F: 0.7183 0.7875 0.1389  1 Dy 2.16, 1 In 2.24
F: 0.7875 0.7183 0.6389  1 Dy 2.16, 1 In 2.24
F: 0.8262 0.1582 0.5390  2 Dy 2.24-2.42
F: 0.8418 0.1738 0.9610  2 Dy 2.24-2.42

=====

4.
Rb2DyInF6 | GGA-PBE | relaxed

Results
Space-group type: No. 14
Energy, eV per atom: -5.15
M_tot, μB per formula unit: 0.0

Lattice parameters (Å, degrees): 6.6286 6.8386 11.4991 90.00 124.83 90.00
Last column: nearest neighbours and their distance in Å.
Fractional positions:
Rb: 0.2339 0.0436 0.2466  5 F 2.83-3.10
Rb: 0.2339 0.4564 0.7466  5 F 2.83-3.10
Rb: 0.7661 0.5436 0.2534  5 F 2.83-3.10
Rb: 0.7661 0.9564 0.7534  5 F 2.83-3.10
Dy: 0.5000 0.0000 0.0000  6 F 2.20
Dy: 0.5000 0.5000 0.5000  6 F 2.20
In: 0.0000 0.0000 0.5000  6 F 2.70-2.78
In: 0.0000 0.5000 0.0000  6 F 2.70-2.78
F: 0.1908 0.1796 0.9590  1 Dy 2.20
F: 0.1908 0.3204 0.4590  1 Dy 2.20
F: 0.2640 0.7399 0.9370  1 Dy 2.20
F: 0.2640 0.7601 0.4370  1 Dy 2.20
F: 0.3772 0.0490 0.7798  1 Dy 2.20
F: 0.3772 0.4510 0.2798  1 Dy 2.20
F: 0.6228 0.5490 0.7202  1 Dy 2.20
F: 0.6228 0.9510 0.2202  1 Dy 2.20
F: 0.7360 0.2399 0.5630  1 Dy 2.20
F: 0.7360 0.2601 0.0630  1 Dy 2.20
F: 0.8092 0.6796 0.5410  1 Dy 2.20
F: 0.8092 0.8204 0.0410  1 Dy 2.20

=====

5.
KDyF4 | GGA-PBE | relaxed

Results
Space-group type: No. 123
Energy, eV per atom: -5.92
M_tot, μB per formula unit: 0.0

Lattice parameters (Å, degrees): 3.8767 3.8767 6.2583 90.00 90.00 90.00
Last column: nearest neighbours and their distance in Å.
Fractional positions:
K: 0.0000 0.0000 0.0000  8 F 2.69
Dy: 0.5000 0.5000 0.5000  8 F 2.32
F: 0.0000 0.5000 0.2973  2 Dy 2.32, 1 F 2.54
F: 0.0000 0.5000 0.7027  2 Dy 2.32, 1 F 2.54
F: 0.5000 0.0000 0.2973  2 Dy 2.32, 1 F 2.54
F: 0.5000 0.0000 0.7027  2 Dy 2.32, 1 F 2.54

=====

6.
K2DyF5 | GGA-PBE | relaxed

Results
Space-group type: No. 62
Energy, eV per atom: -5.53
M_tot, μB per formula unit: 0.1

Lattice parameters (Å, degrees): 10.9623 7.3292 6.6860 90.00 90.00 90.00
Last column: nearest neighbours and their distance in Å.
Fractional positions:
K: 0.1717 0.0027 0.0328  8 F 2.68-2.90
K: 0.1717 0.4973 0.0328  8 F 2.68-2.90
K: 0.3283 0.5027 0.5328  8 F 2.68-2.90
K: 0.3283 0.9973 0.5328  8 F 2.68-2.90
K: 0.6717 0.0027 0.4672  8 F 2.68-2.90
K: 0.6717 0.4973 0.4672  8 F 2.68-2.90
K: 0.8283 0.5027 0.9672  8 F 2.68-2.90
K: 0.8283 0.9973 0.9672  8 F 2.68-2.90
Dy: 0.0044 0.2500 0.5611  7 F 2.19-2.30
Dy: 0.4956 0.7500 0.0611  7 F 2.19-2.30
Dy: 0.5044 0.2500 0.9389  7 F 2.19-2.30
Dy: 0.9956 0.7500 0.4389  7 F 2.19-2.30
F: 0.0131 0.2500 0.8918  1 Dy 2.21
F: 0.0761 0.5350 0.6460  2 Dy 2.28-2.30
F: 0.0761 0.9650 0.6460  2 Dy 2.28-2.30
F: 0.1669 0.2500 0.3712  1 Dy 2.19
F: 0.1901 0.7500 0.3378  1 Dy 2.24
F: 0.3099 0.2500 0.8378  1 Dy 2.24
F: 0.3331 0.7500 0.8712  1 Dy 2.19
F: 0.4239 0.0350 0.1460  2 Dy 2.28-2.30
F: 0.4239 0.4650 0.1460  2 Dy 2.28-2.30
F: 0.4869 0.7500 0.3918  1 Dy 2.21
F: 0.5131 0.2500 0.6082  1 Dy 2.21
F: 0.5761 0.5350 0.8540  2 Dy 2.28-2.30
F: 0.5761 0.9650 0.8540  2 Dy 2.28-2.30
F: 0.6669 0.2500 0.1288  1 Dy 2.19
F: 0.6901 0.7500 0.1622  1 Dy 2.24
F: 0.8099 0.2500 0.6622  1 Dy 2.24
F: 0.8331 0.7500 0.6288  1 Dy 2.19
F: 0.9239 0.0350 0.3540  2 Dy 2.28-2.30
F: 0.9239 0.4650 0.3540  2 Dy 2.28-2.30
F: 0.9869 0.7500 0.1082  1 Dy 2.21

=====

7.
K4Dy6F19 | GGA-PBE | relaxed

Results
Space-group type: No. 197
Energy, eV per atom: -5.83
M_tot, μB per formula unit: 0.0

Lattice parameters (Å, degrees): 9.6243 9.6243 9.6243 109.47 109.47 109.47
Last column: nearest neighbours and their distance in Å.
Fractional positions:
K: 0.0000 0.0000 0.2627  1 F 2.53
K: 0.0000 0.2627 0.0000  1 F 2.53
K: 0.2627 0.0000 0.0000  1 F 2.53
K: 0.7373 0.7373 0.7373  1 F 2.53
Dy: 0.1620 0.5000 0.6620  6 F 2.20-2.24
Dy: 0.3380 0.8380 0.5000  6 F 2.20-2.24
Dy: 0.5000 0.3380 0.8380  6 F 2.20-2.24
Dy: 0.5000 0.6620 0.1620  6 F 2.20-2.24
Dy: 0.6620 0.1620 0.5000  6 F 2.20-2.24
Dy: 0.8380 0.5000 0.3380  6 F 2.20-2.24
F: 0.0000 0.0000 0.0000  4 K 2.53
F: 0.0000 0.3796 0.3796  2 Dy 2.24
F: 0.0000 0.6204 0.6204  2 Dy 2.24
F: 0.0584 0.7012 0.3639  2 Dy 2.20-2.21
F: 0.2988 0.3571 0.6626  2 Dy 2.20-2.21
F: 0.3055 0.6429 0.9416  2 Dy 2.20-2.21
F: 0.3374 0.6945 0.6361  2 Dy 2.20-2.21
F: 0.3571 0.6626 0.2988  2 Dy 2.20-2.21
F: 0.3639 0.0584 0.7012  2 Dy 2.20-2.21
F: 0.3796 0.0000 0.3796  2 Dy 2.24
F: 0.3796 0.3796 0.0000  2 Dy 2.24
F: 0.6204 0.0000 0.6204  2 Dy 2.24
F: 0.6204 0.6204 0.0000  2 Dy 2.24
F: 0.6361 0.3374 0.6945  2 Dy 2.20-2.21
F: 0.6429 0.9416 0.3055  2 Dy 2.20-2.21
F: 0.6626 0.2988 0.3571  2 Dy 2.20-2.21
F: 0.6945 0.6361 0.3374  2 Dy 2.20-2.21
F: 0.7012 0.3639 0.0584  2 Dy 2.20-2.21
F: 0.9416 0.3055 0.6429  2 Dy 2.20-2.21

=====

8.
K3DyF6 | GGA-PBE | relaxed

Results
Space-group type: No. 139
Energy, eV per atom: -5.17
M_tot, μB per formula unit: 0.0

Lattice parameters (Å, degrees): 6.8097 6.8097 6.8097 117.25 117.25 94.84
Last column: nearest neighbours and their distance in Å.
Fractional positions:
K: 0.0000 0.0000 0.0000  2 F 2.41
K: 0.2500 0.7500 0.5000  4 F 2.68
K: 0.7500 0.2500 0.5000  4 F 2.68
Dy: 0.5000 0.5000 0.0000  6 F 2.18-2.20
F: 0.1931 0.5000 0.6931  1 Dy 2.18
F: 0.2616 0.2616 0.0000  1 Dy 2.20, 1 K 2.41
F: 0.5000 0.1931 0.6931  1 Dy 2.18
F: 0.5000 0.8069 0.3069  1 Dy 2.18
F: 0.7384 0.7384 0.0000  1 Dy 2.20, 1 K 2.41
F: 0.8069 0.5000 0.3069  1 Dy 2.18

=====

9.
KDyF4 | GGA-PBE | relaxed

Results
Space-group type: No. 62
Energy, eV per atom: -5.92
M_tot, μB per formula unit: 0.1

Lattice parameters (Å, degrees): 6.1293 3.6228 15.5765 90.00 90.00 90.00
Last column: nearest neighbours and their distance in Å.
Fractional positions:
K: 0.2237 0.2500 0.2015  7 F 2.60-2.74
K: 0.2763 0.7500 0.7015  7 F 2.60-2.74
K: 0.7237 0.2500 0.2985  7 F 2.60-2.74
K: 0.7763 0.7500 0.7985  7 F 2.60-2.74
Dy: 0.2494 0.7500 0.4413  9 F 2.22-2.44
Dy: 0.2506 0.2500 0.9413  9 F 2.22-2.44
Dy: 0.7494 0.7500 0.0587  9 F 2.22-2.44
Dy: 0.7506 0.2500 0.5587  9 F 2.22-2.44
F: 0.0043 0.2500 0.0562  3 Dy 2.34-2.39, 2 F 2.52
F: 0.0951 0.2500 0.8127  1 Dy 2.22
F: 0.1081 0.2500 0.3697  2 Dy 2.30
F: 0.1328 0.2500 0.5362  3 Dy 2.37-2.44, 1 F 2.60
F: 0.3672 0.7500 0.0362  3 Dy 2.37-2.44, 1 F 2.60
F: 0.3919 0.7500 0.8697  2 Dy 2.30
F: 0.4049 0.7500 0.3127  1 Dy 2.22
F: 0.4957 0.7500 0.5562  3 Dy 2.34-2.39, 2 F 2.52
F: 0.5043 0.2500 0.4438  3 Dy 2.34-2.39, 2 F 2.52
F: 0.5951 0.2500 0.6873  1 Dy 2.22
F: 0.6081 0.2500 0.1303  2 Dy 2.30
F: 0.6328 0.2500 0.9638  3 Dy 2.37-2.44, 1 F 2.60
F: 0.8672 0.7500 0.4638  3 Dy 2.37-2.44, 1 F 2.60
F: 0.8919 0.7500 0.6303  2 Dy 2.30
F: 0.9049 0.7500 0.1873  1 Dy 2.22
F: 0.9957 0.7500 0.9438  3 Dy 2.34-2.39, 2 F 2.52

=====

10.
K3DyF6 | GGA-PBE | relaxed

Results
Space-group type: No. 14
Energy, eV per atom: -5.27
M_tot, μB per formula unit: 0.3

Lattice parameters (Å, degrees): 6.3994 6.6452 11.0505 90.00 124.29 90.00
Last column: nearest neighbours and their distance in Å.
Fractional positions:
K: 0.0000 0.0000 0.0000  6 F 2.61-2.70
K: 0.0000 0.5000 0.5000  6 F 2.61-2.70
K: 0.2240 0.0527 0.7424  5 F 2.67-2.91
K: 0.2240 0.4473 0.2424  5 F 2.67-2.91
K: 0.7760 0.5527 0.7576  5 F 2.67-2.91
K: 0.7760 0.9473 0.2576  5 F 2.67-2.91
Dy: 0.5000 0.0000 0.5000  6 F 2.19-2.20
Dy: 0.5000 0.5000 0.0000  6 F 2.19-2.20
F: 0.1724 0.1780 0.4495  1 Dy 2.19
F: 0.1724 0.3220 0.9495  1 Dy 2.19
F: 0.2540 0.7322 0.4237  1 Dy 2.20
F: 0.2540 0.7678 0.9237  1 Dy 2.20
F: 0.3972 0.0625 0.2775  1 Dy 2.20
F: 0.3972 0.4375 0.7775  1 Dy 2.20
F: 0.6028 0.5625 0.2225  1 Dy 2.20
F: 0.6028 0.9375 0.7225  1 Dy 2.20
F: 0.7460 0.2322 0.0763  1 Dy 2.20
F: 0.7460 0.2678 0.5763  1 Dy 2.20
F: 0.8276 0.6780 0.0505  1 Dy 2.19
F: 0.8276 0.8220 0.5505  1 Dy 2.19

=====

11.
K3DyF6 | GGA-PBE | relaxed

Results
Space-group type: No. 225
Energy, eV per atom: -5.20
M_tot, μB per formula unit: 0.0

Lattice parameters (Å, degrees): 6.6456 6.6456 6.6456 60.00 60.00 60.00
Last column: nearest neighbours and their distance in Å.
Fractional positions:
K: 0.0000 0.0000 0.0000  6 F 2.52
K: 0.2500 0.2500 0.2500  12 F 3.33
K: 0.7500 0.7500 0.7500  12 F 3.33
Dy: 0.5000 0.5000 0.5000  6 F 2.17
F: 0.2686 0.2686 0.7314  1 Dy 2.17
F: 0.2686 0.7314 0.2686  1 Dy 2.17
F: 0.2686 0.7314 0.7314  1 Dy 2.17
F: 0.7314 0.2686 0.2686  1 Dy 2.17
F: 0.7314 0.2686 0.7314  1 Dy 2.17
F: 0.7314 0.7314 0.2686  1 Dy 2.17

=====

12.
KDyF5 | GGA-PBE | relaxed

Results
Space-group type: No. 15
Energy, eV per atom: -5.30
M_tot, μB per formula unit: 1.0

Lattice parameters (Å, degrees): 8.6633 8.6633 6.1197 91.17 91.17 150.33
Last column: nearest neighbours and their distance in Å.
Fractional positions:
K: 0.1789 0.8211 0.7500  8 F 2.73-2.85
K: 0.8211 0.1789 0.2500  8 F 2.73-2.85
Dy: 0.4309 0.5691 0.7500  8 F 2.24-2.33
Dy: 0.5691 0.4309 0.2500  8 F 2.24-2.33
F: 0.0989 0.9011 0.2500  2 Dy 2.27
F: 0.2450 0.3247 0.3999  2 Dy 2.29-2.33
F: 0.3118 0.6622 0.9721  1 Dy 2.24
F: 0.3247 0.2450 0.8999  2 Dy 2.29-2.33
F: 0.3378 0.6882 0.5279  1 Dy 2.24
F: 0.6622 0.3118 0.4721  1 Dy 2.24
F: 0.6753 0.7550 0.1001  2 Dy 2.29-2.33
F: 0.6882 0.3378 0.0279  1 Dy 2.24
F: 0.7550 0.6753 0.6001  2 Dy 2.29-2.33
F: 0.9011 0.0989 0.7500  2 Dy 2.27